## Sb2WCI (PBE)

Data for a relaxed structure of Sb2WCI.

Cell and atoms, written as POSCAR:
```
Sb2WCI
1.0
-0.197 -3.619 3.745
4.555 1.698 1.880
-2.714 3.593 3.329
I Sb C W
1 2 1 1
direct
0.000 0.000 0.500
0.000 0.500 0.000
0.500 0.000 0.000
0.500 0.500 0.500
0.000 0.000 0.000
```

Properties
formation energy from raw total energies	1.936	eV/atom
calculated total energy	-4.459	eV/atom



## ReAuCl2 (PBE)

Data for a relaxed structure of ReAuCl2.

Cell and atoms, written as POSCAR:
```
ReAuCl2
1.0
8.280 0.000 0.000
0.000 8.280 0.000
4.140 4.140 2.673
Re Au Cl
2 2 4
direct
0.500 0.500 0.000
0.250 0.750 0.500
0.000 0.000 0.000
0.750 0.250 0.500
0.482 0.125 0.250
0.268 0.625 0.250
0.375 0.518 0.750
0.875 0.732 0.750
```

Properties
formation energy from raw total energies	0.490	eV/atom
calculated total energy	-4.365	eV/atom



## NaSr4Cd2 (PBE)

Data for a relaxed structure of NaSr4Cd2.

Cell and atoms, written as POSCAR:
```
NaSr4Cd2
1.0
5.624 0.000 1.757
2.538 5.019 1.757
-0.025 -0.016 9.961
Na Sr Cd
1 4 2
direct
0.000 0.000 0.000
0.870 0.870 0.391
0.130 0.130 0.609
0.617 0.617 0.148
0.383 0.383 0.852
0.746 0.746 0.763
0.254 0.254 0.237
```

Properties
calculated total energy	-1.541	eV/atom
energy of formation	-130.3	meV/atom



## SrGaH3 (PBE)

Data for a relaxed structure of SrGaH3.

Cell and atoms, written as POSCAR:
```
SrGaH3
1.0
-3.536 2.638 1.283
-2.068 -0.816 -4.021
-2.081 -3.672 1.815
Sr Ga H
1 1 3
direct
0.000 0.000 0.000
0.500 0.500 0.500
0.000 0.500 0.000
0.000 0.000 0.500
0.500 0.000 0.000
```

Properties
calculated total energy	-2.806	eV/atom



## Dy3Tl (PBE)

Data for a relaxed structure of Dy3Tl.

Cell and atoms, written as POSCAR:
```
Dy3Tl
1.0
-2.817 -0.967 1.859
1.230 -5.748 -1.126
3.913 3.123 4.240
Tl Dy
1 3
direct
0.000 0.011 0.000
0.271 0.613 0.542
0.500 0.471 0.000
0.729 0.071 0.458
```

Properties
calculated total energy	-4.209	eV/atom
energy of formation	-166.2	meV/atom



## TmScMo4 (PBE)

Data for a relaxed structure of TmScMo4.

Cell and atoms, written as POSCAR:
```
TmScMo4
1.0
5.432 0.000 0.000
2.716 4.704 0.000
2.716 1.568 4.435
Sc Mo Tm
1 4 1
direct
0.000 0.000 0.000
0.625 0.625 0.125
0.625 0.125 0.625
0.625 0.625 0.625
0.125 0.625 0.625
0.250 0.250 0.250
```

Properties
calculated total energy	-9.006	eV/atom
energy of formation	15.6	meV/atom



## MgSeSN2 (PBE)

Data for a relaxed structure of MgSeSN2.

Cell and atoms, written as POSCAR:
```
MgSeSN2
1.0
3.535 0.000 0.000
0.000 3.535 0.000
0.000 0.000 7.238
S Mg Se N
1 1 1 2
direct
0.000 0.000 0.000
0.500 0.500 0.500
0.000 0.000 0.500
0.000 0.500 0.000
0.500 0.000 0.000
```

Properties
formation energy from raw total energies	0.961	eV/atom
calculated total energy	-4.211	eV/atom



## Rb2SrI (PBE)

Data for a relaxed structure of Rb2SrI.

Cell and atoms, written as POSCAR:
```
Rb2SrI
1.0
4.669 0.000 0.000
2.334 4.043 0.000
2.334 1.348 13.524
I Sr Rb
1 1 2
direct
0.500 0.500 0.500
0.000 0.000 0.000
0.106 0.106 0.681
0.894 0.894 0.319
```

Properties
formation energy from raw total energies	-0.558	eV/atom
calculated total energy	-1.850	eV/atom



## NaTl2H (PBE)

Data for a relaxed structure of NaTl2H.

Cell and atoms, written as POSCAR:
```
NaTl2H
1.0
-2.344 6.597 3.655
-6.355 -3.789 2.763
-2.801 0.595 5.662
Na Tl H
2 4 2
direct
0.000 0.000 0.000
0.750 0.250 0.500
0.532 0.125 0.250
0.218 0.625 0.250
0.375 0.468 0.750
0.875 0.782 0.750
0.500 0.500 0.000
0.250 0.750 0.500
```

Properties
calculated total energy	-2.208	eV/atom



## Ho2Th2In3 (PBE)

Data for a relaxed structure of Ho2Th2In3.

Cell and atoms, written as POSCAR:
```
Ho2Th2In3
1.0
4.617 0.000 0.613
0.000 3.450 0.000
0.680 0.000 12.576
Ho Th In
2 2 3
direct
0.703 0.500 0.593
0.297 0.500 0.407
0.571 0.500 0.858
0.429 0.500 0.142
0.851 0.000 0.299
0.000 0.000 0.000
0.149 0.000 0.701
```

Properties
calculated total energy	-4.814	eV/atom
energy of formation	-212.1	meV/atom



## ZnCd5Hg6 (PBE)

Data for a relaxed structure of ZnCd5Hg6.

Cell and atoms, written as POSCAR:
```
ZnCd5Hg6
1.0
-0.199 -4.624 5.862
-5.201 -3.737 0.690
3.021 -7.372 -0.954
Zn Hg Cd
1 6 5
direct
0.000 0.000 0.000
0.392 0.771 0.681
0.927 0.229 0.681
0.226 0.260 0.000
0.774 0.740 0.000
0.073 0.771 0.319
0.608 0.229 0.319
0.820 0.500 0.360
0.662 0.000 0.677
0.500 0.500 0.000
0.338 0.000 0.323
0.180 0.500 0.640
```

Properties
calculated total energy	-0.593	eV/atom
energy of formation	45.0	meV/atom



## BePSeO2 (PBE)

Data for a relaxed structure of BePSeO2.

Cell and atoms, written as POSCAR:
```
BePSeO2
1.0
3.683 0.000 0.000
0.000 3.683 0.000
0.000 0.000 5.073
P O Se Be
1 2 1 1
direct
0.000 0.000 0.500
0.000 0.500 0.000
0.500 0.000 0.000
0.000 0.000 0.000
0.500 0.500 0.500
```

Properties
formation energy from raw total energies	0.330	eV/atom
calculated total energy	-4.178	eV/atom



## V4C2N (PBE)

Data for a relaxed structure of V4C2N.

Cell and atoms, written as POSCAR:
```
V4C2N
1.0
2.924 0.000 0.000
0.000 4.869 0.000
0.000 0.000 9.821
C N V
4 2 8
direct
0.500 0.994 0.259
0.500 0.506 0.759
0.500 0.494 0.241
0.500 0.006 0.741
0.000 0.500 0.500
0.000 0.000 0.000
0.000 0.767 0.829
0.000 0.267 0.671
0.500 0.770 0.086
0.500 0.270 0.414
0.500 0.730 0.586
0.500 0.230 0.914
0.000 0.733 0.329
0.000 0.233 0.171
```

Properties
formation energy from raw total energies	-0.577	eV/atom
calculated total energy	-9.612	eV/atom



## RbMnRe2Cl (PBE)

Data for a relaxed structure of RbMnRe2Cl.

Cell and atoms, written as POSCAR:
```
RbMnRe2Cl
1.0
-3.479 -2.762 -0.430
3.202 -4.817 5.037
-2.084 2.106 3.338
Re Mn Rb Cl
2 1 1 1
direct
0.000 0.000 0.500
0.500 0.000 0.000
0.000 0.000 0.000
0.000 0.500 0.000
0.500 0.500 0.500
```

Properties
formation energy from raw total energies	1.298	eV/atom
calculated total energy	-6.078	eV/atom



## Sr2P2RhN6 (PBE)

Data for a relaxed structure of Sr2P2RhN6.

Cell and atoms, written as POSCAR:
```
Sr2P2RhN6
1.0
5.548 0.000 0.000
2.774 4.804 0.000
2.774 1.601 5.541
Sr P Rh N
2 2 1 6
direct
0.788 0.788 0.635
0.212 0.212 0.365
0.405 0.405 0.784
0.595 0.595 0.216
0.000 0.000 0.000
0.752 0.752 0.237
0.259 0.752 0.237
0.752 0.259 0.237
0.248 0.741 0.763
0.741 0.248 0.763
0.248 0.248 0.763
```

Properties
formation energy from raw total energies	-0.305	eV/atom
calculated total energy	-6.804	eV/atom



## Pr3NdAu (PBE)

Data for a relaxed structure of Pr3NdAu.

Cell and atoms, written as POSCAR:
```
Pr3NdAu
1.0
6.120 0.000 0.000
0.000 7.960 0.000
0.000 -3.980 7.383
Pr Nd Au
6 2 2
direct
0.792 0.074 0.148
0.292 0.926 0.852
0.304 0.393 0.280
0.804 0.113 0.720
0.804 0.607 0.720
0.304 0.887 0.280
0.320 0.431 0.862
0.820 0.569 0.138
0.066 0.253 0.505
0.566 0.747 0.495
```

Properties
calculated total energy	-4.614	eV/atom
energy of formation	-136.8	meV/atom



## Y2PPd2Pt4 (PBE)

Data for a relaxed structure of Y2PPd2Pt4.

Cell and atoms, written as POSCAR:
```
Y2PPd2Pt4
1.0
6.081 -0.304 -0.480
-2.721 5.447 0.480
-2.721 -1.891 5.130
Y P Pd Pt
2 1 2 4
direct
0.500 0.750 0.250
0.500 0.250 0.750
0.000 0.000 0.000
0.000 0.730 0.730
0.000 0.270 0.270
0.000 0.734 0.266
0.469 0.734 0.734
0.000 0.266 0.734
0.531 0.266 0.266
```

Properties
calculated total energy	-6.809	eV/atom
energy of formation	-932.7	meV/atom



## Li3ThSi2 (PBE)

Data for a relaxed structure of Li3ThSi2.

Cell and atoms, written as POSCAR:
```
Li3ThSi2
1.0
-1.204 0.028 4.062
-6.301 -2.392 -4.061
5.179 -5.529 1.574
Li Th Si
6 2 4
direct
0.312 0.624 0.538
0.958 0.915 0.625
0.601 0.202 0.690
0.399 0.798 0.310
0.042 0.085 0.375
0.688 0.376 0.462
0.855 0.710 0.941
0.145 0.290 0.059
0.482 0.965 0.838
0.518 0.035 0.162
0.802 0.604 0.283
0.198 0.396 0.717
```

Properties
formation energy from raw total energies	-0.409	eV/atom
calculated total energy	-4.411	eV/atom



## Ac9Pr2Nd (PBE)

Data for a relaxed structure of Ac9Pr2Nd.

Cell and atoms, written as POSCAR:
```
Ac9Pr2Nd
1.0
5.540 0.000 0.000
0.000 5.540 0.000
0.000 0.000 16.610
Ac Pr Nd
9 2 1
direct
0.500 0.500 0.000
0.500 0.500 0.333
0.500 0.500 0.667
0.500 0.000 0.166
0.500 0.000 0.500
0.500 0.000 0.834
0.000 0.500 0.166
0.000 0.500 0.500
0.000 0.500 0.834
0.000 0.000 0.333
0.000 0.000 0.667
0.000 0.000 0.000
```

Properties
calculated total energy	-4.258	eV/atom
energy of formation	17.5	meV/atom



## Nd3Sm4PuS8 (PBE)

Data for a relaxed structure of Nd3Sm4PuS8.

Cell and atoms, written as POSCAR:
```
Nd3Sm4PuS8
1.0
8.053 0.000 0.000
0.000 8.052 -0.006
-4.027 -4.023 5.697
Nd Sm Pu S
3 4 1 8
direct
0.500 0.500 0.000
0.500 0.500 0.500
0.000 0.500 0.500
0.500 0.000 0.000
0.500 0.000 0.500
0.000 0.000 0.000
0.000 0.000 0.500
0.000 0.500 0.000
0.248 0.752 0.003
0.248 0.752 0.496
0.248 0.245 0.496
0.755 0.752 0.003
0.245 0.248 0.997
0.752 0.755 0.504
0.752 0.248 0.504
0.752 0.248 0.997
```

Properties
formation energy from raw total energies	-2.000	eV/atom
calculated total energy	-7.033	eV/atom